No. 1
A geometry-optimized Tm8Ga2Pd structure, computed with GGA-PBE.

Computed properties:
As for the size of the total moment: 0.00 μB per cell. The formation enthalpy at 0 K is -0.366 eV/atom.

Cell: 9.378 9.378 6.526 Å, 100.57 100.57 30.22°
Atoms (fractional coordinates):
Tm: 0.024 0.024 0.272
Tm: 0.209 0.209 0.821
Tm: 0.346 0.346 0.518
Tm: 0.409 0.409 0.037
Tm: 0.591 0.591 0.963
Tm: 0.654 0.654 0.482
Tm: 0.791 0.791 0.179
Tm: 0.976 0.976 0.728
Ga: 0.189 0.189 0.260
Ga: 0.811 0.811 0.740
Pd: 0.500 0.500 0.500



No. 2
A geometry-optimized NaTm2AgTe4 structure, computed with GGA-PBE.

Computed properties:
The calculation puts the formation energy from raw total energies at -1.054 eV/atom. As for the size of the total moment: 0.00 μB per cell.

Cell: 7.531 7.531 15.575 Å, 90.00 90.00 146.55°
Atoms (fractional coordinates):
Na: 0.136 0.864 0.750
Na: 0.864 0.136 0.250
Tm: 0.369 0.631 0.573
Tm: 0.369 0.631 0.927
Tm: 0.631 0.369 0.073
Tm: 0.631 0.369 0.427
Ag: 0.155 0.845 0.250
Ag: 0.845 0.155 0.750
Te: 0.000 0.000 0.000
Te: 0.000 0.000 0.500
Te: 0.275 0.725 0.108
Te: 0.275 0.725 0.392
Te: 0.466 0.534 0.750
Te: 0.534 0.466 0.250
Te: 0.725 0.275 0.608
Te: 0.725 0.275 0.892



No. 3
A geometry-optimized LiCeRhAu structure, computed with GGA-PBE.

Computed properties:
As for the size of the total moment: 0.50 μB per cell. The formation enthalpy at 0 K is -0.468 eV/atom.

Cell: 4.801 4.801 4.801 Å, 60.00 60.00 60.00°
Atoms (fractional coordinates):
Li: 0.000 0.000 0.000
Ce: 0.500 0.500 0.500
Rh: 0.250 0.250 0.250
Au: 0.750 0.750 0.750



No. 4
A geometry-optimized Hf2ZrTcPb structure, computed with GGA-PBE.

Computed properties:
As for the size of the total moment: 0.00 μB per cell. The formation enthalpy at 0 K is 0.587 eV/atom.

Cell: 4.930 4.930 5.209 Å, 90.00 90.00 90.00°
Atoms (fractional coordinates):
Hf: 0.000 0.500 0.000
Hf: 0.500 0.000 0.000
Zr: 0.000 0.000 0.500
Tc: 0.500 0.500 0.000
Pb: 0.500 0.500 0.500



No. 5
A geometry-optimized La2PdAu2 structure, computed with GGA-PBE.

Computed properties:
The value obtained for the energy above the most stable polymorph in this dataset is 257 meV per atom. As for the size of the total moment: 0.00 μB per cell. The formation enthalpy at 0 K is -0.586 eV/atom.

Cell: 8.088 8.088 4.142 Å, 90.00 90.00 90.00°
Atoms (fractional coordinates):
La: 0.172 0.328 0.000
La: 0.328 0.828 0.000
La: 0.672 0.172 0.000
La: 0.828 0.672 0.000
Pd: 0.000 0.000 0.000
Pd: 0.500 0.500 0.000
Au: 0.128 0.628 0.500
Au: 0.372 0.128 0.500
Au: 0.628 0.872 0.500
Au: 0.872 0.372 0.500



No. 6
A geometry-optimized BeIr structure, computed with GGA-PBE.

Computed properties:
As for the size of the total moment: 0.00 μB per cell. The formation enthalpy at 0 K is -0.214 eV/atom.

Cell: 4.799 4.799 4.799 Å, 139.27 139.27 58.97°
Atoms (fractional coordinates):
Be: 0.375 0.625 0.750
Be: 0.625 0.375 0.250
Ir: 0.125 0.875 0.250
Ir: 0.875 0.125 0.750



No. 7
A geometry-optimized Mg6Zn6Cd structure, computed with GGA-PBE.

Computed properties:
As for the size of the total moment: 0.00 μB per cell. The formation enthalpy at 0 K is -0.048 eV/atom.

Cell: 7.326 7.326 7.326 Å, 137.21 101.50 93.83°
Atoms (fractional coordinates):
Mg: 0.152 0.152 0.000
Mg: 0.162 0.500 0.662
Mg: 0.328 0.000 0.328
Mg: 0.672 0.000 0.672
Mg: 0.838 0.500 0.338
Mg: 0.848 0.848 0.000
Zn: 0.000 0.000 0.500
Zn: 0.000 0.500 0.000
Zn: 0.252 0.752 0.500
Zn: 0.500 0.000 0.000
Zn: 0.500 0.500 0.500
Zn: 0.748 0.248 0.500
Cd: 0.500 0.500 0.000



No. 8
A geometry-optimized Nd3Hf2PaP6 structure, computed with GGA-PBE.

Computed properties:
As for the size of the total moment: 0.00 μB per cell. The formation enthalpy at 0 K is -1.407 eV/atom.

Cell: 6.831 6.831 6.945 Å, 99.45 99.45 120.03°
Atoms (fractional coordinates):
Nd: 0.000 0.000 0.000
Nd: 0.335 0.665 0.000
Nd: 0.665 0.335 0.000
Hf: 0.167 0.833 0.500
Hf: 0.833 0.167 0.500
Pa: 0.500 0.500 0.500
P: 0.084 0.425 0.275
P: 0.233 0.233 0.721
P: 0.425 0.084 0.275
P: 0.575 0.916 0.725
P: 0.767 0.767 0.279
P: 0.916 0.575 0.725



No. 9
A geometry-optimized TlCdH3 structure, computed with GGA-PBE.

Computed properties:
The value obtained for the energy above the most stable polymorph in this dataset is 301 meV per atom. As for the size of the total moment: 0.00 μB per cell.

Cell: 4.172 4.172 4.172 Å, 90.00 90.00 90.00°
Atoms (fractional coordinates):
Tl: 0.000 0.000 0.000
Cd: 0.500 0.500 0.500
H: 0.000 0.000 0.500
H: 0.000 0.500 0.000
H: 0.500 0.000 0.000



No. 10
A geometry-optimized Pm4In2O structure, computed with GGA-PBE.

Computed properties:
The value obtained for the energy above the most stable polymorph in this dataset is 0 meV per atom. The calculation puts the formation energy from raw total energies at -1.066 eV/atom. As for the size of the total moment: 0.00 μB per cell.

Cell: 9.072 9.072 9.072 Å, 149.34 149.34 43.91°
Atoms (fractional coordinates):
Pm: 0.000 0.500 0.500
Pm: 0.172 0.172 0.000
Pm: 0.500 0.000 0.500
Pm: 0.828 0.828 0.000
In: 0.362 0.362 0.000
In: 0.638 0.638 0.000
O: 0.000 0.000 0.000



No. 11
A geometry-optimized LiYMo structure, computed with GGA-PBE.

Computed properties:
The value obtained for the energy above the most stable polymorph in this dataset is 28 meV per atom. As for the size of the total moment: 0.00 μB per cell. The formation enthalpy at 0 K is 0.530 eV/atom.

Cell: 5.528 5.528 5.528 Å, 148.34 138.51 53.11°
Atoms (fractional coordinates):
Li: 0.000 0.000 0.000
Y: 0.311 0.311 0.000
Mo: 0.631 0.631 0.000



No. 12
A geometry-optimized LiDy4Au7 structure, computed with GGA-PBE.

Computed properties:
As for the size of the total moment: 0.00 μB per cell. The formation enthalpy at 0 K is -0.707 eV/atom.

Cell: 7.465 7.465 9.049 Å, 121.24 121.24 39.42°
Atoms (fractional coordinates):
Li: 0.000 0.000 0.000
Dy: 0.260 0.260 0.740
Dy: 0.437 0.437 0.256
Dy: 0.563 0.563 0.744
Dy: 0.740 0.740 0.260
Au: 0.075 0.075 0.344
Au: 0.182 0.182 0.981
Au: 0.319 0.319 0.450
Au: 0.500 0.500 0.000
Au: 0.681 0.681 0.550
Au: 0.818 0.818 0.019
Au: 0.925 0.925 0.656



No. 13
A geometry-optimized MnInSb2 structure, computed with GGA-PBE.

Computed properties:
The calculation puts the formation energy from raw total energies at 0.420 eV/atom. As for the size of the total moment: 4.38 μB per cell.

Cell: 5.197 5.197 5.197 Å, 60.00 60.00 60.00°
Atoms (fractional coordinates):
Mn: 0.000 0.000 0.000
In: 0.750 0.750 0.750
Sb: 0.250 0.250 0.250
Sb: 0.500 0.500 0.500



No. 14
A geometry-optimized Pr3Ho8Er2 structure, computed with GGA-PBE.

Computed properties:
The value obtained for the energy above the most stable polymorph in this dataset is 0 meV per atom. As for the size of the total moment: 0.00 μB per cell. The formation enthalpy at 0 K is 0.125 eV/atom.

Cell: 6.277 8.103 17.647 Å, 78.35 84.96 74.31°
Atoms (fractional coordinates):
Pr: 0.000 0.000 0.000
Pr: 0.000 0.000 0.500
Pr: 0.410 0.626 0.235
Pr: 0.490 0.823 0.692
Pr: 0.510 0.177 0.308
Pr: 0.590 0.374 0.765
Ho: 0.032 0.614 0.740
Ho: 0.109 0.939 0.331
Ho: 0.133 0.540 0.076
Ho: 0.171 0.150 0.800
Ho: 0.301 0.689 0.887
Ho: 0.340 0.615 0.565
Ho: 0.371 0.194 0.578
Ho: 0.428 0.232 0.960
Ho: 0.572 0.768 0.040
Ho: 0.629 0.806 0.422
Ho: 0.660 0.385 0.435
Ho: 0.699 0.311 0.113
Ho: 0.829 0.850 0.200
Ho: 0.867 0.460 0.924
Ho: 0.891 0.061 0.669
Ho: 0.968 0.386 0.260
Er: 0.127 0.505 0.415
Er: 0.264 0.085 0.150
Er: 0.736 0.915 0.850
Er: 0.873 0.495 0.585



No. 15
A geometry-optimized Nd4Dy2YSc structure, computed with GGA-PBE.

Computed properties:
As for the size of the total moment: 0.00 μB per cell. The formation enthalpy at 0 K is 0.028 eV/atom.

Cell: 5.104 5.117 9.924 Å, 90.00 90.00 90.00°
Atoms (fractional coordinates):
Nd: 0.000 0.000 0.244
Nd: 0.000 0.000 0.756
Nd: 0.500 0.500 0.244
Nd: 0.500 0.500 0.756
Dy: 0.000 0.500 0.000
Dy: 0.500 0.000 0.500
Y: 0.000 0.500 0.500
Sc: 0.500 0.000 0.000



No. 16
A geometry-optimized ReMoOs structure, computed with GGA-PBE.

Computed properties:
The value obtained for the energy above the most stable polymorph in this dataset is 187 meV per atom. As for the size of the total moment: 0.00 μB per cell. The formation enthalpy at 0 K is 0.229 eV/atom.

Cell: 4.388 4.388 5.476 Å, 90.00 90.00 120.00°
Atoms (fractional coordinates):
Re: 0.333 0.667 0.250
Re: 0.667 0.333 0.750
Mo: 0.333 0.667 0.750
Mo: 0.667 0.333 0.250
Os: 0.000 0.000 0.000
Os: 0.000 0.000 0.500



No. 17
A geometry-optimized Ta2ReSnH structure, computed with GGA-PBE.

Computed properties:
The value obtained for the energy above the most stable polymorph in this dataset is 0 meV per atom. As for the size of the total moment: 0.00 μB per cell.

Cell: 4.196 4.196 4.149 Å, 90.00 90.00 90.00°
Atoms (fractional coordinates):
Ta: 0.000 0.500 0.000
Ta: 0.500 0.000 0.000
Re: 0.000 0.000 0.500
Sn: 0.500 0.500 0.500
H: 0.000 0.000 0.000



No. 18
A geometry-optimized RbMg3I structure, computed with GGA-PBE.

Computed properties:
The value obtained for the energy above the most stable polymorph in this dataset is 0 meV per atom. The calculation puts the formation energy from raw total energies at 0.372 eV/atom. As for the size of the total moment: 0.00 μB per cell.

Cell: 6.338 6.338 6.338 Å, 90.00 90.00 90.00°
Atoms (fractional coordinates):
Rb: 0.000 0.000 0.000
Mg: 0.000 0.500 0.500
Mg: 0.500 0.000 0.500
Mg: 0.500 0.500 0.000
I: 0.500 0.500 0.500



No. 19
A geometry-optimized Cs2PdAuF6 structure, computed with GGA-PBE.

Computed properties:
The calculation puts the formation energy from raw total energies at -1.803 eV/atom. As for the size of the total moment: 0.62 μB per cell.

Cell: 6.633 6.475 6.426 Å, 61.88 59.43 58.70°
Atoms (fractional coordinates):
Cs: 0.250 0.250 0.250
Cs: 0.750 0.750 0.750
Pd: 0.000 0.000 0.000
Au: 0.500 0.500 0.500
F: 0.214 0.214 0.786
F: 0.217 0.783 0.217
F: 0.266 0.734 0.734
F: 0.734 0.266 0.266
F: 0.783 0.217 0.783
F: 0.786 0.786 0.214



No. 20
A geometry-optimized KPt2Se structure, computed with GGA-PBE.

Computed properties:
The calculation puts the formation energy from raw total energies at 0.329 eV/atom. As for the size of the total moment: 0.00 μB per cell.

Cell: 5.267 5.267 5.267 Å, 132.81 132.81 68.95°
Atoms (fractional coordinates):
K: 0.000 0.000 0.000
Pt: 0.250 0.750 0.500
Pt: 0.500 0.500 0.000
Se: 0.750 0.250 0.500



No. 21
A geometry-optimized LaYGe structure, computed with GGA-PBE.

Computed properties:
The value obtained for the energy above the most stable polymorph in this dataset is 199 meV per atom. As for the size of the total moment: 0.00 μB per cell. The formation enthalpy at 0 K is -0.461 eV/atom.

Cell: 4.817 4.817 4.395 Å, 90.00 90.00 120.00°
Atoms (fractional coordinates):
La: 0.000 0.000 0.000
Y: 0.333 0.667 0.521
Ge: 0.667 0.333 0.404



No. 22
A geometry-optimized Ca2Si4Ir5 structure, computed with GGA-PBE.

Computed properties:
The calculation puts the formation energy from raw total energies at -0.789 eV/atom. As for the size of the total moment: 0.00 μB per cell.

Cell: 8.521 7.521 5.666 Å, 79.13 60.10 40.77°
Atoms (fractional coordinates):
Ca: 0.123 0.123 0.877
Ca: 0.877 0.877 0.123
Si: 0.212 0.529 0.471
Si: 0.471 0.788 0.212
Si: 0.529 0.212 0.788
Si: 0.788 0.471 0.529
Ir: 0.000 0.000 0.500
Ir: 0.250 0.250 0.250
Ir: 0.500 0.500 0.000
Ir: 0.500 0.500 0.500
Ir: 0.750 0.750 0.750



No. 23
A geometry-optimized V2AuI structure, computed with GGA-PBE.

Computed properties:
The value obtained for the energy above the most stable polymorph in this dataset is 0 meV per atom. The calculation puts the formation energy from raw total energies at 0.594 eV/atom. As for the size of the total moment: 1.63 μB per cell.

Cell: 4.604 4.604 4.604 Å, 60.00 60.00 60.00°
Atoms (fractional coordinates):
V: 0.250 0.250 0.250
V: 0.750 0.750 0.750
Au: 0.000 0.000 0.000
I: 0.500 0.500 0.500



No. 24
A geometry-optimized SnHgHPb2 structure, computed with GGA-PBE.

Computed properties:
The value obtained for the total energy is -2.788 eV/atom. As for the size of the total moment: 0.00 μB per cell.

Cell: 5.126 5.126 4.571 Å, 90.00 90.00 90.00°
Atoms (fractional coordinates):
Sn: 0.000 0.000 0.000
Hg: 0.500 0.500 0.000
H: 0.000 0.000 0.500
Pb: 0.000 0.500 0.500
Pb: 0.500 0.000 0.500